No. 1
Material: Ti4GaSb
Method: DFT, GGA-PBE
State: relaxed

Cell lengths 5.142, 6.408, 7.453 Å; angles 100.02, 110.18, 90.00 degrees
Element x y z (fractional)
Ti1 0.543 0.073 0.854
Ti2 0.688 0.427 0.146
Ti3 0.457 0.927 0.146
Ti4 0.312 0.573 0.854
Ti5 0.994 0.890 0.670
Ti6 0.324 0.610 0.330
Ti7 0.006 0.110 0.330
Ti8 0.676 0.390 0.670
Ga1 0.500 0.000 0.500
Ga2 0.000 0.500 0.500
Sb1 0.884 0.750 0.000
Sb2 0.116 0.250 0.000

Calculated values
Energy relative to the elements, uncorrected: -87 meV per atom
Density: 5.6 g/cm³
Space-group type: No. 15

=====

No. 2
Material: Si2Tc2Ru
Method: DFT, GGA-PBE
State: relaxed

Cell lengths 6.759, 6.759, 2.976 Å; angles 90.00, 90.00, 90.00 degrees
Element x y z (fractional)
Ru1 0.000 0.000 0.000
Ru2 0.500 0.500 0.000
Si1 0.360 0.860 0.000
Si2 0.860 0.640 0.000
Si3 0.640 0.140 0.000
Si4 0.140 0.360 0.000
Tc1 0.158 0.658 0.500
Tc2 0.658 0.842 0.500
Tc3 0.842 0.342 0.500
Tc4 0.342 0.158 0.500

Calculated values
Energy relative to the elements, uncorrected: -233 meV per atom
Density: 8.6 g/cm³
Space-group type: No. 127

=====

No. 3
Material: AgAsOs2
Method: DFT, GGA-PBE
State: relaxed

Cell lengths 4.526, 4.526, 4.526 Å; angles 122.29, 122.29, 86.08 degrees
Element x y z (fractional)
As1 0.750 0.250 0.500
Os1 0.000 0.000 0.000
Os2 0.250 0.750 0.500
Ag1 0.500 0.500 0.000

Calculated values
Density: 14.8 g/cm³
Space-group type: No. 119
Energy relative to the elements: 3.3 eV/f.u.

=====

No. 4
Material: Li3Al2Pd8
Method: DFT, GGA-PBE
State: relaxed

Cell lengths 4.100, 8.232, 7.181 Å; angles 124.97, 90.01, 90.00 degrees
Element x y z (fractional)
Li1 0.500 0.000 0.000
Li2 0.000 0.249 0.000
Li3 0.000 0.751 0.000
Al1 0.500 0.251 0.503
Al2 0.500 0.749 0.497
Pd1 0.000 0.623 0.246
Pd2 0.000 0.377 0.754
Pd3 0.000 0.130 0.261
Pd4 0.000 0.870 0.739
Pd5 0.500 0.620 0.746
Pd6 0.500 0.126 0.746
Pd7 0.500 0.874 0.254
Pd8 0.500 0.380 0.254

Calculated values
Density: 7.7 g/cm³
Space-group type: No. 65
Energy relative to the elements: -5.6 eV/f.u.

=====

No. 5
Material: LiMn3Si
Method: DFT, GGA-PBE
State: relaxed

Cell lengths 4.524, 4.524, 4.524 Å; angles 90.00, 90.00, 90.00 degrees
Element x y z (fractional)
Si1 0.000 0.000 0.000
Mn1 0.000 0.500 0.000
Mn2 0.000 0.000 0.500
Mn3 0.500 0.000 0.000
Li1 0.500 0.500 0.500

Calculated values
Energy relative to the elements, uncorrected: 587 meV per atom
Density: 3.6 g/cm³
Space-group type: No. 221

=====

No. 6
Material: Tb4Sm2S9
Method: DFT, GGA-PBE
State: relaxed

Cell lengths 6.998, 6.998, 18.650 Å; angles 90.00, 90.00, 60.00 degrees
Element x y z (fractional)
Tb1 0.333 0.333 0.983
Tb2 0.333 0.333 0.483
Tb3 0.667 0.667 0.017
Tb4 0.333 0.333 0.185
Tb5 0.667 0.667 0.517
Tb6 0.666 0.667 0.315
Tb7 0.334 0.333 0.685
Tb8 0.667 0.667 0.815
Sm1 0.000 0.000 0.353
Sm2 0.000 0.000 0.147
Sm3 0.000 0.000 0.647
Sm4 0.000 0.000 0.853
S1 0.000 0.302 0.750
S2 0.303 0.698 0.750
S3 0.698 0.000 0.750
S4 0.000 0.698 0.250
S5 0.697 0.302 0.250
S6 0.302 0.000 0.250
S7 0.659 0.968 0.416
S8 0.968 0.373 0.416
S9 0.373 0.659 0.416
S10 0.627 0.032 0.084
S11 0.341 0.627 0.084
S12 0.032 0.341 0.083
S13 0.341 0.032 0.584
S14 0.032 0.627 0.584
S15 0.627 0.341 0.584
S16 0.373 0.968 0.916
S17 0.659 0.373 0.916
S18 0.968 0.659 0.917

Calculated values
Energy relative to the elements, uncorrected: -2049 meV per atom
Density: 5.1 g/cm³
Space-group type: No. 165

=====

No. 7
Material: TaRuRh2
Method: DFT, GGA-PBE
State: relaxed

Cell lengths 3.775, 3.775, 9.484 Å; angles 78.52, 78.52, 90.00 degrees
Element x y z (fractional)
Ru1 0.500 0.500 0.000
Ru2 0.250 0.750 0.500
Rh1 0.616 0.125 0.250
Rh2 0.134 0.625 0.250
Rh3 0.375 0.384 0.750
Rh4 0.875 0.866 0.750
Ta1 0.000 0.000 0.000
Ta2 0.750 0.250 0.500

Calculated values
Density: 12.5 g/cm³
Space-group type: No. 122
Energy relative to the elements: 0.6 eV/f.u.

=====

No. 8
Material: CaNbGeTeP
Method: DFT, GGA-PBE
State: relaxed

Cell lengths 3.769, 3.750, 15.467 Å; angles 90.00, 90.00, 90.00 degrees
Element x y z (fractional)
Ca1 0.000 0.500 0.477
Ca2 0.500 0.000 0.977
Nb1 0.000 0.000 0.691
Nb2 0.500 0.500 0.191
Ge1 0.000 0.000 0.177
Ge2 0.500 0.500 0.677
Te1 0.000 0.500 0.839
Te2 0.500 0.000 0.339
P1 0.000 0.500 0.061
P2 0.500 0.000 0.561

Calculated values
Energy relative to the elements, uncorrected: -593 meV per atom
Density: 5.5 g/cm³
Space-group type: No. 44

=====

No. 9
Material: SrLi3Au3
Method: DFT, GGA-PBE
State: relaxed

Cell lengths 4.486, 8.812, 8.812 Å; angles 120.01, 90.00, 90.00 degrees
Element x y z (fractional)
Sr1 0.750 0.333 0.667
Sr2 0.250 0.667 0.333
Li1 0.750 0.770 0.014
Li2 0.750 0.244 0.230
Li3 0.750 0.986 0.756
Li4 0.250 0.230 0.986
Li5 0.250 0.756 0.770
Li6 0.250 0.014 0.244
Au1 0.750 0.950 0.369
Au2 0.750 0.419 0.050
Au3 0.750 0.631 0.581
Au4 0.250 0.050 0.631
Au5 0.250 0.581 0.950
Au6 0.250 0.369 0.419

Calculated values
Density: 7.7 g/cm³
Space-group type: No. 176
Energy relative to the elements: -3.5 eV/f.u.

=====

No. 10
Material: Al2CrRu
Method: DFT, GGA-PBE
State: relaxed

Cell lengths 2.693, 2.693, 8.478 Å; angles 90.00, 90.00, 112.96 degrees
Element x y z (fractional)
Ru1 0.500 0.500 0.742
Al1 0.000 0.000 0.986
Al2 0.500 0.500 0.265
Cr1 0.000 0.000 0.506

Calculated values
Density: 6.1 g/cm³
Space-group type: No. 35
Energy relative to the elements: 0.3 eV/f.u.

=====

No. 11
Material: Li7In
Method: DFT, GGA-PBE
State: relaxed

Cell lengths 5.980, 5.980, 5.980 Å; angles 60.00, 60.00, 60.00 degrees
Element x y z (fractional)
Li1 0.500 0.500 0.000
Li2 0.500 0.000 0.500
Li3 0.000 0.500 0.500
Li4 0.500 0.000 0.000
Li5 0.000 0.500 0.000
Li6 0.000 0.000 0.500
Li7 0.500 0.500 0.500
In1 0.000 0.000 0.000

Calculated values
Density: 1.8 g/cm³
Space-group type: No. 225
Energy relative to the elements: -1.0 eV/f.u.

=====

No. 12
Material: Rb2AlCl5
Method: DFT, GGA-PBE
State: relaxed

Cell lengths 9.934, 9.793, 13.143 Å; angles 90.00, 109.93, 90.00 degrees
Element x y z (fractional)
Rb1 0.710 0.874 0.018
Rb2 0.210 0.626 0.018
Rb3 0.559 0.864 0.363
Rb4 0.059 0.636 0.363
Rb5 0.941 0.364 0.637
Rb6 0.441 0.136 0.637
Rb7 0.790 0.374 0.982
Rb8 0.290 0.126 0.982
Al1 0.535 0.423 0.306
Al2 0.035 0.077 0.306
Al3 0.965 0.923 0.694
Al4 0.465 0.577 0.694
Cl1 0.021 0.119 0.142
Cl2 0.946 0.639 0.110
Cl3 0.521 0.381 0.142
Cl4 0.446 0.861 0.110
Cl5 0.860 0.942 0.303
Cl6 0.025 0.262 0.391
Cl7 0.360 0.558 0.303
Cl8 0.730 0.534 0.391
Cl9 0.525 0.238 0.391
Cl10 0.230 0.966 0.391
Cl11 0.770 0.034 0.609
Cl12 0.475 0.762 0.609
Cl13 0.270 0.466 0.609
Cl14 0.640 0.442 0.697
Cl15 0.975 0.738 0.609
Cl16 0.140 0.058 0.697
Cl17 0.554 0.139 0.890
Cl18 0.479 0.619 0.858
Cl19 0.054 0.361 0.890
Cl20 0.979 0.881 0.858

Calculated values
Energy relative to the elements, uncorrected: -1802 meV per atom
Density: 2.1 g/cm³
Space-group type: No. 14